Density functional theory data (PBE) for a geometry-optimized Er3Tm2Tl2 structure.

Calculated values
VASP energy: -0.150 Ha/atom
E_form: -4.3 kcal/mol of atoms
Size of the total moment: 0.00 Bohr magnetons per cell
Distance to the lowest polymorph of the same formula: 0 meV/atom

Cell lengths 9.2685, 5.3403, 8.5134 Å; angles 90.00, 111.15, 90.00 degrees
Last column: nearest neighbours and their distance in Å.
Space group C2/m (No. 12)
Unique sites:
1 Er 0.0000 0.0000 0.0000  6 Tl 3.30-3.31, 2 Er 3.66
2 Er 0.1537 0.0000 0.4616  1 Tl 3.10, 3 Er 3.15, 3 Tm 3.41
3 Tm 0.0737 0.5000 0.7208  4 Tl 3.26-3.40, 3 Er 3.41, 1 Tm 3.51
4 Tl 0.2159 0.5000 0.1485  4 Er 3.10-3.31, 4 Tm 3.26-3.40